Version one
Computed, not measured: a PBEsol-optimized structure of Ni7Pt5 at the SCAN level of DFT.

a = 3.6677 Å, b = 5.2263 Å, c = 7.8206 Å
α = 90.00°, β = 90.00°, γ = 90.00°
Last column: magnetic moment on the atom in μB.
Fractional coordinates of all 12 atoms:
Pt 0.5000 0.2440 0.5000  0.31
Pt 0.0000 0.0000 0.0000  0.29
Pt 0.5000 0.7560 0.5000  0.31
Pt 0.0000 0.5000 0.3151  0.30
Pt 0.0000 0.5000 0.6849  0.30
Ni 0.5000 0.7512 0.1595  0.96
Ni 0.0000 0.0000 0.3260  1.03
Ni 0.0000 0.0000 0.6740  1.03
Ni 0.5000 0.2488 0.1595  0.96
Ni 0.5000 0.7512 0.8405  0.96
Ni 0.0000 0.5000 0.0000  1.11
Ni 0.5000 0.2488 0.8405  0.96

Properties
Crystal system = orthorhombic
Total moment = 8.03 μB per formula unit
Volume = 149.9 Å³/cell
DOS at the Fermi energy = 10.2 states/eV/f.u.

***

Version two
Computed, not measured: a PBEsol-optimized structure of Ni7Pt5 at the SCAN level of DFT.

a = 4.5172 Å, b = 4.5172 Å, c = 7.8764 Å
α = 90.00°, β = 90.00°, γ = 110.26°
Last column: magnetic moment on the atom in μB.
Fractional coordinates of all 12 atoms:
Ni 0.5000 0.0000 0.6708  0.92
Ni 0.0000 0.0000 0.8398  1.08
Ni 0.0000 0.0000 0.5000  1.12
Ni 0.5000 0.0000 0.9972  0.90
Ni 0.0000 0.0000 0.1602  1.08
Ni 0.0000 0.5000 0.3292  0.92
Ni 0.0000 0.5000 0.0028  0.90
Pt 0.5000 0.5000 0.5000  0.13
Pt 0.0000 0.5000 0.6697  0.14
Pt 0.5000 0.5000 0.8376  0.18
Pt 0.5000 0.5000 0.1624  0.18
Pt 0.5000 0.0000 0.3303  0.14

Properties
Crystal system = orthorhombic
Total moment = 7.14 μB per formula unit
Volume = 150.8 Å³/cell
DOS at the Fermi energy = 6.0 states/eV/f.u.

***

Stability order, top to bottom: version two, version one

***

Version one
Computed, not measured: a PBEsol-optimized structure of Ni7Pt5 at the SCAN level of DFT.

a = 2.6569 Å, b = 7.2546 Å, c = 7.8094 Å
α = 90.53°, β = 90.00°, γ = 90.00°
Last column: magnetic moment on the atom in μB.
Fractional coordinates of all 12 atoms:
Ni 0.0000 0.5071 0.6764  1.05
Ni 0.5000 0.7382 0.8327  0.83
Ni 0.0000 0.9964 0.3368  1.11
Ni 0.5000 0.2574 0.8339  1.06
Ni 0.0000 0.4999 0.9888  0.97
Ni 0.5000 0.7494 0.5064  1.05
Ni 0.0000 0.9998 0.9917  0.93
Pt 0.0000 0.5102 0.3378  0.21
Pt 0.5000 0.2423 0.1544  0.31
Pt 0.5000 0.2507 0.5091  0.20
Pt 0.0000 0.9866 0.6753  0.24
Pt 0.5000 0.7619 0.1566  0.30

Properties
Crystal system = monoclinic
Total moment = 7.76 μB per formula unit
Volume = 150.5 Å³/cell
DOS at the Fermi energy = 6.5 states/eV/f.u.

***

Version two
Computed, not measured: a PBEsol-optimized structure of Ni7Pt5 at the SCAN level of DFT.

a = 2.6649 Å, b = 7.5249 Å, c = 7.9590 Å
α = 110.58°, β = 90.00°, γ = 90.00°
Last column: magnetic moment on the atom in μB.
Fractional coordinates of all 12 atoms:
Ni 0.5000 0.0002 0.1963  0.82
Ni 0.0000 0.7621 0.5790  0.97
Ni 0.0000 0.7630 0.2631  1.02
Ni 0.0000 0.2370 0.7369  1.02
Ni 0.5000 0.0000 0.5000  1.04
Ni 0.5000 0.9998 0.8037  0.82
Ni 0.0000 0.2379 0.4210  0.97
Pt 0.0000 0.7840 0.9281  0.20
Pt 0.0000 0.2160 0.0719  0.20
Pt 0.5000 0.4985 0.6643  0.22
Pt 0.5000 0.5000 0.0000  0.18
Pt 0.5000 0.5015 0.3357  0.22

Properties
Crystal system = monoclinic
Total moment = 7.22 μB per formula unit
Volume = 149.4 Å³/cell
DOS at the Fermi energy = 7.7 states/eV/f.u.

***

Version three
Computed, not measured: a PBEsol-optimized structure of Ni7Pt5 at the SCAN level of DFT.

a = 4.4987 Å, b = 4.5558 Å, c = 7.8119 Å
α = 90.00°, β = 90.00°, γ = 110.41°
Last column: magnetic moment on the atom in μB.
Fractional coordinates of all 12 atoms:
Pt 0.5000 0.0000 0.5018  0.19
Pt 0.0000 0.5000 0.8450  0.30
Pt 0.5000 0.0000 0.1527  0.24
Pt 0.5000 0.5000 0.6729  0.22
Pt 0.5000 0.5000 0.3269  0.20
Ni 0.0000 0.0000 0.9984  1.09
Ni 0.0000 0.5000 0.1683  1.08
Ni 0.5000 0.5000 0.0000  0.74
Ni 0.0000 0.0000 0.3298  1.09
Ni 0.0000 0.0000 0.6708  1.11
Ni 0.5000 0.0000 0.8336  0.77
Ni 0.0000 0.5000 0.4998  1.04

Properties
Crystal system = monoclinic
Total moment = 7.57 μB per formula unit
Volume = 150.0 Å³/cell
DOS at the Fermi energy = 6.2 states/eV/f.u.

***

Version four
Computed, not measured: a PBEsol-optimized structure of Ni7Pt5 at the SCAN level of DFT.

a = 5.2346 Å, b = 5.2346 Å, c = 5.7829 Å
α = 103.01°, β = 103.01°, γ = 90.62°
Last column: magnetic moment on the atom in μB.
Fractional coordinates of all 12 atoms:
Ni 0.8444 0.8444 0.8365  1.09
Ni 0.1640 0.6719 0.1601  0.97
Ni 0.0000 0.0000 0.5000  0.85
Ni 0.3281 0.8360 0.8399  0.97
Ni 0.1556 0.1556 0.1635  1.09
Ni 0.8360 0.3281 0.8399  0.97
Ni 0.6719 0.1640 0.1601  0.97
Pt 0.0000 0.5000 0.5000  0.22
Pt 0.5000 0.5000 0.5000  0.21
Pt 0.3233 0.3233 0.8460  0.25
Pt 0.6767 0.6767 0.1540  0.25
Pt 0.5000 0.0000 0.5000  0.22

Properties
Crystal system = monoclinic
Total moment = 7.57 μB per formula unit
Volume = 150.1 Å³/cell
DOS at the Fermi energy = 7.0 states/eV/f.u.

***

Stability order, top to bottom: version three, version four, version one, version two

***

Version one
Computed, not measured: a PBEsol-optimized structure of Ni5Pt7 at the SCAN level of DFT.

a = 4.6178 Å, b = 5.2906 Å, c = 7.0184 Å
α = 111.90°, β = 90.60°, γ = 90.04°
Last column: magnetic moment on the atom in μB.
Fractional coordinates of all 12 atoms:
Pt 0.4935 0.2462 0.4945  0.28
Pt 0.8318 0.4141 0.8338  0.34
Pt 0.0000 0.5000 0.5000  0.30
Pt 0.1682 0.5859 0.1662  0.34
Pt 0.5065 0.7538 0.5055  0.28
Pt 0.6687 0.8474 0.1582  0.35
Pt 0.3313 0.1526 0.8418  0.35
Ni 0.0000 0.0000 0.5000  0.84
Ni 0.6691 0.3361 0.1650  1.06
Ni 0.1617 0.0824 0.1636  1.18
Ni 0.8383 0.9176 0.8364  1.18
Ni 0.3309 0.6639 0.8350  1.06

Properties
Crystal system = triclinic
Total moment = 7.17 μB per formula unit
Volume = 159.1 Å³/cell
DOS at the Fermi energy = 8.4 states/eV/f.u.

***

Version two
Computed, not measured: a PBEsol-optimized structure of Ni5Pt7 at the SCAN level of DFT.

a = 2.6987 Å, b = 7.3812 Å, c = 7.9960 Å
α = 90.00°, β = 90.00°, γ = 90.00°
Last column: magnetic moment on the atom in μB.
Fractional coordinates of all 12 atoms:
Pt 0.5000 0.2485 0.3353  0.19
Pt 0.5000 0.2485 0.6647  0.19
Pt 0.0000 0.5114 0.1742  0.23
Pt 0.0000 0.5114 0.8258  0.23
Pt 0.5000 0.7732 0.0000  0.30
Pt 0.0000 0.9782 0.5000  0.25
Pt 0.5000 0.2313 0.0000  0.23
Ni 0.5000 0.7474 0.6629  1.08
Ni 0.0000 0.9944 0.8246  1.15
Ni 0.5000 0.7474 0.3371  1.08
Ni 0.0000 0.9944 0.1754  1.15
Ni 0.0000 0.5137 0.5000  1.19

Properties
Crystal system = orthorhombic
Total moment = 6.90 μB per formula unit
Volume = 159.3 Å³/cell
DOS at the Fermi energy = 6.4 states/eV/f.u.

***

Version three
Computed, not measured: a PBEsol-optimized structure of Ni5Pt7 at the SCAN level of DFT.

a = 2.6929 Å, b = 7.4721 Å, c = 7.9635 Å
α = 90.00°, β = 90.00°, γ = 90.00°
Last column: magnetic moment on the atom in μB.
Fractional coordinates of all 12 atoms:
Ni 0.0000 0.2625 0.0000  0.96
Ni 0.5000 0.5000 0.1520  1.07
Ni 0.0000 0.7375 0.0000  0.96
Ni 0.5000 0.5000 0.8480  1.07
Ni 0.5000 0.0000 0.5000  1.21
Pt 0.5000 0.0000 0.8383  0.22
Pt 0.0000 0.2537 0.3249  0.24
Pt 0.5000 0.5000 0.5000  0.18
Pt 0.0000 0.7463 0.6751  0.24
Pt 0.5000 0.0000 0.1617  0.22
Pt 0.0000 0.7463 0.3249  0.24
Pt 0.0000 0.2537 0.6751  0.24

Properties
Crystal system = orthorhombic
Total moment = 6.43 μB per formula unit
Volume = 160.2 Å³/cell
DOS at the Fermi energy = 9.0 states/eV/f.u.

***

Stability order, top to bottom: version two, version one, version three

***

Version one
Computed, not measured: a PBEsol-optimized structure of Ni2RuPt at the SCAN level of DFT.

a = 2.6493 Å, b = 2.6493 Å, c = 7.0134 Å
α = 90.00°, β = 90.00°, γ = 90.00°
Last column: magnetic moment on the atom in μB.
Fractional coordinates of all 4 atoms:
Pt 0.0000 0.0000 0.4916  0.04
Ni 0.0000 0.0000 0.0072  0.31
Ni 0.5000 0.5000 0.2315  0.73
Ru 0.5000 0.5000 0.7697  -0.09

Properties
Crystal system = tetragonal
Total moment = 0.92 μB per formula unit
Volume = 49.2 Å³/cell
DOS at the Fermi energy = 4.2 states/eV/f.u.

***

Version two
Computed, not measured: a PBEsol-optimized structure of Ni2RuPt at the SCAN level of DFT.

a = 4.1121 Å, b = 4.1121 Å, c = 4.1121 Å
α = 60.00°, β = 60.00°, γ = 60.00°
Fractional coordinates of all 4 atoms:
Ru 0.0000 0.0000 0.0000
Ni 0.7500 0.7500 0.7500
Ni 0.2500 0.2500 0.2500
Pt 0.5000 0.5000 0.5000

Properties
Crystal system = cubic
Total moment = 0.00 μB per formula unit
Volume = 49.2 Å³/cell
DOS at the Fermi energy = 4.3 states/eV/f.u.

***

Version three
Computed, not measured: a PBEsol-optimized structure of Ni2RuPt at the SCAN level of DFT.

a = 3.5317 Å, b = 3.7347 Å, c = 3.7347 Å
α = 90.00°, β = 90.00°, γ = 90.00°
Fractional coordinates of all 4 atoms:
Ni 0.0000 0.5000 0.0000
Ni 0.0000 0.0000 0.5000
Ru 0.5000 0.0000 0.0000
Pt 0.5000 0.5000 0.5000

Properties
Crystal system = tetragonal
Total moment = 0.00 μB per formula unit
Volume = 49.3 Å³/cell
DOS at the Fermi energy = 4.9 states/eV/f.u.

***

Stability order, top to bottom: version one, version three, version two